Record 1
Ac6Nd3Dy (PBE, optimized geometry); DOS(E_F) = 1.86 states/eV/atom; space group = C2/m (12); calculated total energy = -4.14 eV per atom
1.0
6.0717 -3.7406 0.0000
6.0717 3.7406 0.0000
-2.4042 0.0000 9.1239
Ac Nd Dy
6 3 1
direct
0.0886 0.5770 0.2024
0.1297 0.1297 0.4076
0.4230 0.9114 0.7976
0.5770 0.0886 0.2024
0.8703 0.8703 0.5924
0.9114 0.4230 0.7976
0.4125 0.4125 0.8395
0.5000 0.5000 0.5000
0.5875 0.5875 0.1605
0.0000 0.0000 0.0000

=====

Record 2
Ac2Ag9Sn (PBE, optimized geometry); DOS(E_F) = 0.41 states/eV/atom; space group = R-3m (166); calculated total energy = -3.24 eV per atom
1.0
2.9204 1.6861 9.3565
-2.9204 1.6861 9.3565
0.0000 -3.3722 9.3565
Ac Ag Sn
2 9 1
direct
0.1345 0.1345 0.1345
0.8655 0.8655 0.8655
0.0785 0.5838 0.5838
0.3334 0.3334 0.3334
0.4162 0.4162 0.9215
0.4162 0.9215 0.4162
0.5000 0.5000 0.5000
0.5838 0.0785 0.5838
0.5838 0.5838 0.0785
0.6666 0.6666 0.6666
0.9215 0.4162 0.4162
0.0000 0.0000 0.0000

=====

Record 3
Cd2GaAg2 (PBE, optimized geometry); DOS(E_F) = 0.43 states/eV/atom; space group = I4/mmm (139); energy above the most stable polymorph in this dataset = 108 meV/atom; calculated total energy = -1.99 eV per atom
1.0
-1.9495 1.9495 7.2396
1.9495 -1.9495 7.2396
1.9495 1.9495 -7.2396
Cd Ga Ag
2 1 2
direct
0.0999 0.0999 0.0000
0.9001 0.9001 0.0000
0.5000 0.5000 0.0000
0.2500 0.7500 0.5000
0.7500 0.2500 0.5000

=====

Record 4
Er2Zr4Sc5 (PBE, optimized geometry); DOS(E_F) = 1.29 states/eV/atom; space group = C2/m (12); calculated total energy = -6.64 eV per atom
1.0
5.8240 -3.0494 0.0000
5.8240 3.0494 0.0000
-5.5152 0.0000 7.7423
Er Zr Sc
2 4 5
direct
0.1773 0.1773 0.2403
0.8227 0.8227 0.7597
0.2337 0.2337 0.9641
0.2367 0.2367 0.6265
0.7633 0.7633 0.3735
0.7663 0.7663 0.0359
0.2493 0.7303 0.3286
0.2697 0.7507 0.6714
0.5000 0.5000 0.0000
0.7303 0.2493 0.3286
0.7507 0.2697 0.6714

=====

Record 5
TiInRe2As (PBE, optimized geometry); DOS(E_F) = 1.06 states/eV/atom; space group = P4/mmm (123); calculated total energy = -6.62 eV per atom
1.0
4.7113 0.0000 0.0000
0.0000 4.7113 0.0000
0.0000 0.0000 4.6250
Ti In Re As
1 1 2 1
direct
0.0000 0.0000 0.0000
0.5000 0.5000 0.5000
0.0000 0.5000 0.0000
0.5000 0.0000 0.0000
0.0000 0.0000 0.5000

=====

Record 6
ScAlTc4 (PBE, optimized geometry); DOS(E_F) = 0.92 states/eV/atom; space group = F-43m (216); calculated total energy = -8.71 eV per atom
1.0
0.0000 3.6618 3.6618
3.6618 0.0000 3.6618
3.6618 3.6618 0.0000
Sc Al Tc
1 1 4
direct
0.0000 0.0000 0.0000
0.2500 0.2500 0.2500
0.1268 0.6244 0.6244
0.6244 0.1268 0.6244
0.6244 0.6244 0.1268
0.6244 0.6244 0.6244

=====

Record 7
SrLaPtAu (PBE, optimized geometry); DOS(E_F) = 0.71 states/eV/atom; space group = Amm2 (38); energy above the most stable polymorph in this dataset = 0 meV/atom; calculated total energy = -4.90 eV per atom
1.0
4.5384 0.0000 0.0000
0.0000 2.0554 5.8707
0.0000 -2.0554 5.8707
Sr La Pt Au
1 1 1 1
direct
0.0000 0.0000 0.0000
0.5000 0.2741 0.2741
0.0000 0.7329 0.7329
0.5000 0.5618 0.5618

=====

Record 8
ThZn5CdAu2 (PBE, optimized geometry); DOS(E_F) = 0.61 states/eV/atom; space group = P4/mmm (123); calculated total energy = -2.36 eV per atom
1.0
4.9344 0.0000 0.0000
0.0000 4.9344 0.0000
0.0000 0.0000 7.6451
Th Zn Cd Au
1 5 1 2
direct
0.0000 0.0000 0.0000
0.0000 0.5000 0.2560
0.0000 0.5000 0.7440
0.5000 0.0000 0.2560
0.5000 0.0000 0.7440
0.5000 0.5000 0.0000
0.0000 0.0000 0.5000
0.5000 0.5000 0.3263
0.5000 0.5000 0.6737

=====

Record 9
Sc2CoNi (PBE, optimized geometry); DOS(E_F) = 0.94 states/eV/atom; space group = Immm (71); calculated total energy = -5.85 eV per atom
1.0
-1.4119 2.4714 4.7806
1.4119 -2.4714 4.7806
1.4119 2.4714 -4.7806
Sc Co Ni
2 1 1
direct
0.2458 0.2458 0.0000
0.7542 0.7542 0.0000
0.0000 0.0000 0.0000
0.5000 0.5000 0.0000

=====

Record 10
Zn4Ni2Pt (PBE, optimized geometry); DOS(E_F) = 0.65 states/eV/atom; space group = I4/mmm (139); calculated total energy = -3.51 eV per atom
1.0
-2.8041 2.8041 3.2418
2.8041 -2.8041 3.2418
2.8041 2.8041 -3.2418
Zn Ni Pt
4 2 1
direct
0.0000 0.0000 0.5000
0.0000 0.5000 0.0000
0.5000 0.0000 0.0000
0.5000 0.5000 0.5000
0.0000 0.5000 0.5000
0.5000 0.0000 0.5000
0.0000 0.0000 0.0000

=====

Record 11
Y3Ho3MgS8 (PBE, optimized geometry); DOS(E_F) = 0.24 states/eV/atom; energy relative to the elements, uncorrected = -1975 meV per atom; space group = R-3m (166); calculated total energy = -6.49 eV per atom
1.0
3.8783 2.2391 6.3514
-3.8783 2.2391 6.3514
0.0000 -4.4783 6.3514
Y Ho Mg S
3 3 1 8
direct
0.0000 0.5000 0.5000
0.5000 0.0000 0.5000
0.5000 0.5000 0.0000
0.0000 0.0000 0.5000
0.0000 0.5000 0.0000
0.5000 0.0000 0.0000
0.5000 0.5000 0.5000
0.2490 0.2490 0.2490
0.2568 0.7413 0.7413
0.2587 0.2587 0.7432
0.2587 0.7432 0.2587
0.7413 0.2568 0.7413
0.7413 0.7413 0.2568
0.7432 0.2587 0.2587
0.7510 0.7510 0.7510

=====

Record 12
Cs2MnNiI6 (PBE, optimized geometry); DOS(E_F) = 0.05 states/eV/atom; energy relative to the elements, uncorrected = -724 meV per atom; space group = Fm-3m (225); calculated total energy = -3.32 eV per atom
1.0
0.0000 5.7087 5.7087
5.7087 0.0000 5.7087
5.7087 5.7087 0.0000
Cs Mn Ni I
2 1 1 6
direct
0.2500 0.2500 0.2500
0.7500 0.7500 0.7500
0.0000 0.0000 0.0000
0.5000 0.5000 0.5000
0.2536 0.2536 0.7464
0.2536 0.7464 0.2536
0.2536 0.7464 0.7464
0.7464 0.2536 0.2536
0.7464 0.2536 0.7464
0.7464 0.7464 0.2536

=====

Record 13
Hf3NbP (PBE, optimized geometry); DOS(E_F) = 0.62 states/eV/atom; space group = Pm-3m (221); energy above the most stable polymorph in this dataset = 0 meV/atom; calculated total energy = -9.12 eV per atom
1.0
4.7912 0.0000 0.0000
0.0000 4.7912 0.0000
0.0000 0.0000 4.7912
Hf Nb P
3 1 1
direct
0.0000 0.0000 0.5000
0.0000 0.5000 0.0000
0.5000 0.0000 0.0000
0.5000 0.5000 0.5000
0.0000 0.0000 0.0000